A relaxed structure of Au4S2I5, computed with PBE-GGA.

Cell: 3.9851 8.3934 12.4999 Å, 99.64 99.17 90.01°
Closest atoms and distances in Å follow each position.
Sites, in units of the cell vectors:
1 Au 0.0126 0.2522 0.0250  2 S 2.46
2 Au 0.3365 0.4362 0.6733  4 I 2.77-2.78
3 Au 0.6635 0.5638 0.3267  4 I 2.77-2.78
4 Au 0.9874 0.7478 0.9750  2 S 2.46
5 S 0.4707 0.5741 0.9420  1 S 2.05
6 S 0.5293 0.4259 0.0580  1 S 2.05
7 I 0.1570 0.7890 0.3140  2 Au 2.77
8 I 0.1715 0.3382 0.3424  2 Au 2.78
9 I 0.5000 0.0000 0.0000  4 Au 2.89
10 I 0.8285 0.6618 0.6576  2 Au 2.78
11 I 0.8430 0.2110 0.6860  2 Au 2.77

Results
- E: -2.6105 eV per atom
- Crystal system: triclinic
- SG: P-1 (2)